Material: CuHg2Cl
Method: DFT, GGA-PBE
State: relaxed

Structure (POSCAR):
```
CuHg2Cl
1.0
2.721 -4.494 0.000
2.721 4.494 0.000
-0.064 0.000 3.635
Cu Hg Cl
1 2 1
direct
0.000 0.000 0.000
0.000 0.500 0.500
0.500 0.000 0.500
0.500 0.500 0.000
```

Results
Distance to the lowest polymorph of the same formula ... 1.00 eV/f.u.
SG ... C2/m (12)
Size of the total moment ... 0.000 μB per formula unit
Calculated volume ... 88.9 Å³/f.u.
Final energy ... -6.18 eV/cell